# 1
First-principles (PBE-GGA) data for a relaxed structure of DyBiSeO2, as listed in Alexandria.

Cell and atoms, written as extended XYZ:
```
10
Lattice="-1.8169 0.5487 -3.5607 5.1642 -2.6646 -3.0458 -4.7761 -5.8778 1.5314" Properties=species:S:1:pos:R:3 pbc="T T T"
Bi -2.5850 -3.8706 -2.7066
Bi 1.1562 -4.1232 -2.3684
O -2.8577 -6.1294 -2.9156
O -0.5604 -3.1459 -3.6281
O -0.8685 -4.8479 -1.4470
O 1.4288 -1.8643 -2.1595
Se 2.4939 -3.3652 -5.2204
Se -3.9228 -4.6286 0.1453
Dy -1.3511 -7.1097 -1.5493
Dy -0.0778 -0.8840 -3.5258
```

final energy: -6.420 eV/atom
V: 19.698 Å³/atom
uncorrected formation energy: -10.22 eV/f.u.

***

# 2
First-principles (PBE-GGA) data for a relaxed structure of SmDyBi2O6, as listed in Alexandria.

Cell and atoms, written as extended XYZ:
```
10
Lattice="6.0799 0.0010 -0.0005 3.0408 5.2656 -0.0003 3.0395 1.7557 5.1127" Properties=species:S:1:pos:R:3 pbc="T T T"
O 4.7441 5.4306 1.2542
O 4.4139 3.6265 3.8271
O 5.0857 1.3933 1.2536
O 6.8133 2.0098 3.8284
O 8.4121 3.7098 1.2525
O 7.0134 4.8967 3.8275
Dy 3.0400 1.7552 0.3832
Bi 3.0390 1.7552 4.7983
Bi 6.0795 3.5117 2.2261
Sm 9.1199 5.2669 2.9867
```

final energy: -7.021 eV/atom
V: 16.367 Å³/atom
uncorrected formation energy: -23.37 eV/f.u.

***

# 3
First-principles (PBE-GGA) data for a relaxed structure of Sr2DyBiO6, as listed in Alexandria.

Cell and atoms, written as extended XYZ:
```
20
Lattice="5.9504 0.0000 -0.0246 0.0000 6.0828 0.0000 0.0167 0.0000 8.4889" Properties=species:S:1:pos:R:3 pbc="T T T"
O 2.4257 5.8751 6.2969
O 4.7898 4.7869 8.0296
O 1.1774 1.2958 0.4346
O 4.1609 1.7455 4.6667
O 1.7145 4.2639 0.4069
O 5.3926 3.2490 2.0401
O 1.8062 4.3372 3.7975
O 4.2526 1.8188 8.0573
O 4.6981 4.8602 4.6390
O 0.5746 2.8337 6.4241
O 3.5414 0.2077 2.1673
O 1.2691 1.2226 3.8252
Bi 0.0000 3.0414 0.0000
Bi 2.9836 0.0000 4.2321
Sr 3.0581 3.3109 6.3569
Sr 2.9090 2.7718 2.1074
Sr 5.8926 0.2695 6.3395
Sr 0.0745 5.8132 2.1248
Dy 0.0084 3.0414 4.2444
Dy 2.9752 0.0000 -0.0123
```

final energy: -6.601 eV/atom
V: 15.363 Å³/atom
uncorrected formation energy: -24.41 eV/f.u.